{
  "formula": "SnAs2Br8",
  "functional": "GGA-PBE",
  "state": "relaxed",
  "lattice": [[-4.721, -4.924, -5.243], [-0.269, -5.786, 5.813], [-6.145, 0.252, 5.433]],
  "species": ["As", "Br", "Br", "Br", "Br", "Br", "As", "Sn", "Br", "Br", "Br"],
  "frac_coords": [[0.358, 0.862, 0.862], [0.165, 0.082, 0.638], [0.835, 0.918, 0.362], [0.835, 0.362, 0.918], [0.165, 0.638, 0.082], [0.413, 0.696, 0.696], [0.642, 0.138, 0.138], [0.000, 0.000, 0.000], [0.692, 0.916, 0.916], [0.587, 0.304, 0.304], [0.308, 0.084, 0.084]],
  "spacegroup": "C2/m, No. 12",
  "e_form_raw_mev_per_atom": -461
}

{
  "formula": "Dy2TmMg",
  "functional": "GGA-PBE",
  "state": "relaxed",
  "lattice": [[3.467, 0.002, 0.000], [1.735, 3.002, 0.000], [1.734, 1.001, 11.356]],
  "species": ["Mg", "Dy", "Dy", "Tm"],
  "frac_coords": [[0.500, 0.500, 0.500], [0.083, 0.083, 0.750], [0.250, 0.250, 0.251], [0.667, 0.667, 0.000]],
  "formation_enthalpy_0k_kj_per_mol_atoms": 4.05,
  "de_polymorph_ev_per_atom": 0.0700,
  "spacegroup": "R3m, No. 160"
}

Number 1: D(E_F) 0.000 states/eV per atom. Number 2: D(E_F) 1.362 states/eV per atom.